Material: Mo3Pd2C
Method: DFT, PBE
State: optimized geometry

Cell: 6.9108 6.9108 6.9108 Å, 90.00 90.00 90.00°
Closest atoms and distances in Å follow each position.
Fractional positions:
Mo 0.6250 0.2965 0.5465  2 C 2.16
Mo 0.7035 0.0465 0.8750  2 C 2.16
Mo 0.5465 0.6250 0.2965  2 C 2.16
Mo 0.9535 0.3750 0.7965  2 C 2.16
Mo 0.2965 0.5465 0.6250  2 C 2.16
Mo 0.4535 0.1250 0.2035  2 C 2.16
Mo 0.0465 0.8750 0.7035  2 C 2.16
Mo 0.7965 0.9535 0.3750  2 C 2.16
Mo 0.2035 0.4535 0.1250  2 C 2.16
Mo 0.8750 0.7035 0.0465  2 C 2.16
Mo 0.3750 0.7965 0.9535  2 C 2.16
Mo 0.1250 0.2035 0.4535  2 C 2.16
Pd 0.5624 0.4376 0.9376  3 Pd 2.59, 3 Mo 2.80
Pd 0.6876 0.6876 0.6876  3 Pd 2.59, 3 Mo 2.80
Pd 0.9376 0.5624 0.4376  3 Pd 2.59, 3 Mo 2.80
Pd 0.4376 0.9376 0.5624  3 Pd 2.59, 3 Mo 2.80
Pd 0.1876 0.8124 0.3124  3 Pd 2.59, 3 Mo 2.80
Pd 0.8124 0.3124 0.1876  3 Pd 2.59, 3 Mo 2.80
Pd 0.3124 0.1876 0.8124  3 Pd 2.59, 3 Mo 2.80
Pd 0.0624 0.0624 0.0624  3 Pd 2.59, 3 Mo 2.80
C 0.8750 0.1250 0.6250  6 Mo 2.16
C 0.1250 0.6250 0.8750  6 Mo 2.16
C 0.6250 0.8750 0.1250  6 Mo 2.16
C 0.3750 0.3750 0.3750  6 Mo 2.16

Values from the calculation:
The density of states at the Fermi level is 19.94 states/eV per cell. Its symmetry is P4_132 (213). The volume is 330 Å³ per cell. As for the magnetic moment: 0.00 μB per atom. Its energy of formation is -0.049 eV per atom.